# 1
VASP calculation (GGA-PBE) on a geometry-optimized CrNi2Rh5 structure.

The total moment is 0.8 μB/cell. The value obtained for the electronic total energy is -116.535 eV for the cell shown. The value obtained for the energy of formation from the pure elements is -41 meV/atom.

The structure belongs to space group I4/mmm (No. 139); the cell edges are 3.7916, 3.7916 and 14.7604 Å and the angles 90.00°, 90.00° and 90.00°. The asymmetric unit holds Cr at (0.0000, 0.0000, 0.0000), Ni at (0.0000, 0.0000, 0.2510), Rh at (0.0000, 0.0000, 0.5000) and Rh at (0.0000, 0.5000, 0.1268).


# 2
VASP calculation (GGA-PBE) on a geometry-optimized CrNiRh4 structure.

The total moment is 0.0 μB/cell. The value obtained for the electronic total energy is -42.903 eV for the cell shown. The relative energy among the computed polymorphs is 30.4 kJ/mol of atoms. The value obtained for the energy of formation from the pure elements is 318 meV/atom.

The structure belongs to space group P4/mmm (No. 123); the cell edges are 4.0220, 4.0220 and 5.6221 Å and the angles 90.00°, 90.00° and 90.00°. The asymmetric unit holds Cr at (0.0000, 0.0000, 0.0000), Ni at (0.5000, 0.5000, 0.5000) and Rh at (0.0000, 0.5000, 0.2457).


# 3
VASP calculation (GGA-PBE) on a geometry-optimized CrNiRh3 structure.

The total moment is 4.8 μB/cell. The value obtained for the electronic total energy is -150.600 eV for the cell shown. The relative energy among the computed polymorphs is 0.0 kJ/mol of atoms. The value obtained for the energy of formation from the pure elements is -38 meV/atom.

The structure belongs to space group C2/c (No. 15); the cell edges are 4.5537, 13.4877 and 4.5484 Å and the angles 90.00°, 107.76° and 90.00°. The asymmetric unit holds Cr at (0.0000, 0.1529, 0.2500), Ni at (0.0000, 0.3504, 0.2500), Rh at (0.0000, 0.0556, 0.7500), Rh at (0.0000, 0.2524, 0.7500) and Rh at (0.0000, 0.4495, 0.7500).


# 4
VASP calculation (GGA-PBE) on a geometry-optimized CrNi3Rh3 structure.

The total moment is 3.7 μB/cell. The value obtained for the electronic total energy is -190.736 eV for the cell shown. The relative energy among the computed polymorphs is 0.0 kJ/mol of atoms. The value obtained for the energy of formation from the pure elements is 191 meV/atom.

The structure belongs to space group P2_13 (No. 198); the cell edges are 7.1953, 7.1953 and 7.1953 Å and the angles 90.00°, 90.00° and 90.00°. The asymmetric unit holds Cr at (0.1003, 0.3997, 0.6003), Ni at (0.0858, 0.5858, 0.9142), Ni at (0.1035, 0.8965, 0.3965), Ni at (0.2168, 0.2168, 0.2168) and Rh at (0.0672, 0.2061, 0.8846).


# 5
VASP calculation (GGA-PBE) on a geometry-optimized Cr2Ni4Rh structure.

The total moment is 2.3 μB/cell. The value obtained for the electronic total energy is -97.343 eV for the cell shown. The relative energy among the computed polymorphs is 0.0 kJ/mol of atoms. The value obtained for the energy of formation from the pure elements is 150 meV/atom.

The structure belongs to space group P2_1/m (No. 11); the cell edges are 6.1252, 4.5647 and 6.7648 Å and the angles 90.00°, 116.35° and 90.00°. The asymmetric unit holds Cr at (0.1121, 0.2500, 0.0594), Cr at (0.2818, 0.2500, 0.4964), Ni at (0.1167, 0.5019, 0.7258), Ni at (0.4638, 0.7500, 0.7099), Ni at (0.4731, 0.7500, 0.0649) and Rh at (0.2682, 0.7500, 0.3022).


# 6
VASP calculation (GGA-PBE) on a geometry-optimized Cr2NiRh2 structure.

The total moment is 0.1 μB/cell. The value obtained for the electronic total energy is -77.437 eV for the cell shown. The relative energy among the computed polymorphs is 21.4 kJ/mol of atoms. The value obtained for the energy of formation from the pure elements is 203 meV/atom.

The structure belongs to space group P4/mbm (No. 127); the cell edges are 7.1243, 7.1243 and 2.6559 Å and the angles 90.00°, 90.00° and 90.00°. The asymmetric unit holds Cr at (0.1658, 0.3342, 0.0000), Ni at (0.0000, 0.0000, 0.5000) and Rh at (0.1325, 0.6325, 0.5000).


# 7
VASP calculation (GGA-PBE) on a geometry-optimized CrNiRh2 structure.

The total moment is 1.6 μB/cell. The value obtained for the electronic total energy is -29.345 eV for the cell shown. The value obtained for the energy of formation from the pure elements is 191 meV/atom.

The structure belongs to space group P2/m (No. 10); the cell edges are 2.6353, 4.3208 and 4.6719 Å and the angles 90.00°, 92.34° and 90.00°. The asymmetric unit holds Cr at (0.0000, 0.0000, 0.0000), Ni at (0.5000, 0.0000, 0.5000) and Rh at (0.2528, 0.5000, 0.7469).


# 8
VASP calculation (GGA-PBE) on a geometry-optimized CrNi3Rh3 structure.

The total moment is 3.4 μB/cell. The value obtained for the electronic total energy is -92.855 eV for the cell shown. The relative energy among the computed polymorphs is 17.3 kJ/mol of atoms. The value obtained for the energy of formation from the pure elements is 371 meV/atom.

The structure belongs to space group P6_3/m (No. 176); the cell edges are 10.3985, 10.3985 and 2.6387 Å and the angles 90.00°, 90.00° and 120.00°. The asymmetric unit holds Cr at (0.3333, 0.6667, 0.2500), Ni at (0.1443, 0.7353, 0.2500) and Rh at (0.1119, 0.4969, 0.7500).